No. 1
Density functional theory data (GGA-PBEsol) for a relaxed structure of MnZn2Cu.

The total magnetization is 3.41 μB per formula unit.

The structure belongs to space group I-4m2 (No. 119); the cell edges are 4.029, 4.029 and 6.291 Å and the angles 90.00°, 90.00° and 90.00°. The distinct sites, in fractional coordinates, are Mn at (0.000, 0.000, 0.000), Zn at (0.000, 0.000, 0.500), Zn at (0.000, 0.500, 0.250) and Cu at (0.000, 0.500, 0.750).

=====

No. 2
Density functional theory data (GGA-PBEsol) for a relaxed structure of Mn3ZnCu.

The total magnetization is 11.65 μB per formula unit.

The structure belongs to space group Pm-3m (No. 221); the cell edges are 4.454, 4.454 and 4.454 Å and the angles 90.00°, 90.00° and 90.00°. The distinct sites, in fractional coordinates, are Mn at (0.000, 0.000, 0.500), Zn at (0.500, 0.500, 0.500) and Cu at (0.000, 0.000, 0.000).

=====

No. 3
Density functional theory data (GGA-PBEsol) for a relaxed structure of MnZn2Cu.

The total magnetization is 2.44 μB per formula unit.

The structure belongs to space group P4/mmm (No. 123); the cell edges are 3.751, 3.751 and 3.551 Å and the angles 90.00°, 90.00° and 90.00°. The distinct sites, in fractional coordinates, are Mn at (0.000, 0.000, 0.000), Zn at (0.000, 0.500, 0.500) and Cu at (0.500, 0.500, 0.000).

=====

No. 4
Density functional theory data (GGA-PBEsol) for a relaxed structure of CuMo3.

The total magnetization is 0.00 μB per formula unit.

The structure belongs to space group P-6m2 (No. 187); the cell edges are 2.6973, 2.6973 and 9.3209 Å and the angles 90.00°, 90.00° and 120.00°. The distinct sites, in fractional coordinates, are Cu at (0.0000, 0.0000, 0.0000), Mo at (0.0000, 0.0000, 0.5000) and Mo at (0.6667, 0.3333, 0.2390).

=====

No. 5
Density functional theory data (GGA-PBEsol) for a relaxed structure of CuMo3.

The total magnetization is 0.00 μB per formula unit.

The structure belongs to space group Pm-3m (No. 221); the cell edges are 4.486, 4.486 and 4.486 Å and the angles 90.00°, 90.00° and 90.00°. The distinct sites, in fractional coordinates, are Cu at (0.000, 0.000, 0.000) and Mo at (0.000, 0.000, 0.500).

=====

No. 6
Density functional theory data (GGA-PBEsol) for a relaxed structure of CuMo.

The total magnetization is 0.00 μB per formula unit.

The structure belongs to space group P6_3/mmc (No. 194); the cell edges are 3.7400, 3.7400 and 5.1273 Å and the angles 90.00°, 90.00° and 120.00°. The distinct sites, in fractional coordinates, are Cu at (0.3333, 0.6667, 0.2500) and Mo at (0.0000, 0.0000, 0.0000).

=====

No. 7
Density functional theory data (GGA-PBEsol) for a relaxed structure of CuMo3.

The total magnetization is 0.00 μB per formula unit.

The structure belongs to space group C2/m (No. 12); the cell edges are 9.090, 2.560 and 5.025 Å and the angles 90.00°, 95.41° and 90.00°. The distinct sites, in fractional coordinates, are Cu at (0.000, 0.000, 0.000), Mo at (0.000, 0.500, 0.500) and Mo at (0.242, 0.500, 0.241).

=====

No. 8
Density functional theory data (GGA-PBEsol) for a relaxed structure of CuMo.

The total magnetization is 0.00 μB per formula unit.

The structure belongs to space group Imma (No. 74); the cell edges are 3.671, 3.795 and 7.730 Å and the angles 90.00°, 90.00° and 90.00°. The distinct sites, in fractional coordinates, are Cu at (0.000, 0.250, 0.127) and Mo at (0.000, 0.250, 0.626).

=====

No. 9
Density functional theory data (GGA-PBEsol) for a relaxed structure of CuMo.

The total magnetization is 0.00 μB per formula unit.

The structure belongs to space group P4/nmm (No. 129, origin choice 2); the cell edges are 2.599, 2.599 and 7.893 Å and the angles 90.00°, 90.00° and 90.00°. The distinct sites, in fractional coordinates, are Cu at (0.250, 0.250, 0.109) and Mo at (0.250, 0.250, 0.645).

=====

No. 10
Density functional theory data (GGA-PBEsol) for a relaxed structure of CuMo.

The total magnetization is 0.00 μB per formula unit.

The structure belongs to space group P6_3/mmc (No. 194); the cell edges are 3.7318, 3.7318 and 4.9062 Å and the angles 90.00°, 90.00° and 120.00°. The distinct sites, in fractional coordinates, are Cu at (0.0000, 0.0000, 0.0000) and Mo at (0.3333, 0.6667, 0.2500).

=====

No. 11
Density functional theory data (GGA-PBEsol) for a relaxed structure of CuMo.

The total magnetization is 0.00 μB per formula unit.

The structure belongs to space group P4/nmm (No. 129, origin choice 2); the cell edges are 3.151, 3.151 and 5.486 Å and the angles 90.00°, 90.00° and 90.00°. The distinct sites, in fractional coordinates, are Cu at (0.250, 0.250, 0.103) and Mo at (0.250, 0.250, 0.621).

=====

No. 12
Density functional theory data (GGA-PBEsol) for a relaxed structure of CuMo.

The total magnetization is 0.00 μB per formula unit.

The structure belongs to space group R-3m (No. 166, hexagonal axes); the cell edges are 2.6362, 2.6362 and 13.5378 Å and the angles 90.00°, 90.00° and 120.00°. The distinct sites, in fractional coordinates, are Cu at (0.0000, 0.0000, 0.0000) and Mo at (0.0000, 0.0000, 0.5000).

=====

Number 1: DFT formation energy 0.05 eV per atom. Number 2: DFT formation energy 1.16 eV per atom. Number 3: DFT formation energy 0.05 eV per atom. Number 4: DFT formation energy 0.40 eV per atom. Number 5: DFT formation energy 2.90 eV per atom. Number 6: DFT formation energy 1.11 eV per atom. Number 7: DFT formation energy 0.30 eV per atom. Number 8: DFT formation energy 0.31 eV per atom. Number 9: DFT formation energy 0.18 eV per atom. Number 10: DFT formation energy 1.05 eV per atom. Number 11: DFT formation energy 0.25 eV per atom. Number 12: DFT formation energy 0.34 eV per atom.